1.
This record from the Alexandria database describes crystalline OsPt2Cl at its relaxed geometry. The functional is PBE. Values from VASP.

The structure in Quantum ESPRESSO input format:
```
&SYSTEM
  ibrav = 0, nat = 8, ntyp = 3
/
ATOMIC_SPECIES
Pt 195.08 Pt.upf
Cl 35.45 Cl.upf
Os 190.23 Os.upf
CELL_PARAMETERS angstrom
-2.527 -3.262 5.112
-3.233 -3.961 -4.125
0.066 -5.966 0.447
ATOMIC_POSITIONS angstrom
Pt -5.047 -10.864 1.126
Pt -2.011 -4.083 2.881
Pt -2.054 -7.113 0.778
Pt -2.275 -4.317 -1.918
Cl -2.880 -3.611 0.494
Cl -3.023 -6.769 -1.592
Os -2.670 -6.420 3.026
Os 0.000 0.000 0.000
```

Values from the calculation:
Space group   I-42d (122)
Energy above the lowest structure with this stoichiometry   656 meV/atom

***

2.
This record from the Alexandria database describes crystalline RbLaSBr2 at its relaxed geometry. The functional is PBE. Values from VASP.

The structure in Quantum ESPRESSO input format:
```
&SYSTEM
  ibrav = 0, nat = 5, ntyp = 4
/
ATOMIC_SPECIES
Br 79.90 Br.upf
S 32.06 S.upf
Rb 85.47 Rb.upf
La 138.91 La.upf
CELL_PARAMETERS angstrom
-5.434 1.703 -1.930
-1.618 -5.766 -0.533
-1.818 0.034 5.150
ATOMIC_POSITIONS angstrom
Br -0.809 -2.883 -0.267
Br -2.717 0.852 -0.965
S -0.909 0.017 2.575
Rb -4.435 -2.015 1.343
La 0.000 0.000 0.000
```

Values from the calculation:
Raw total energy   -4.48 eV per atom
Space group   P4/mmm (123)

***

3.
This record from the Alexandria database describes crystalline SrZnAs2 at its relaxed geometry. The functional is PBE. Values from VASP.

The structure in Quantum ESPRESSO input format:
```
&SYSTEM
  ibrav = 0, nat = 4, ntyp = 3
/
ATOMIC_SPECIES
Zn 65.41 Zn.upf
As 74.92 As.upf
Sr 87.62 Sr.upf
CELL_PARAMETERS angstrom
-3.038 1.865 1.332
-1.493 -3.284 1.212
2.895 0.739 5.567
ATOMIC_POSITIONS angstrom
Zn -0.094 -0.155 5.448
As 1.598 0.408 3.073
As 2.744 0.701 5.278
Sr -1.542 -0.525 2.664
```

Values from the calculation:
Raw total energy   -3.37 eV per atom
Space group   Cmmm (65)

***

4.
This record from the Alexandria database describes crystalline ThFeW at its relaxed geometry. The functional is PBE. Values from VASP.

The structure in Quantum ESPRESSO input format:
```
&SYSTEM
  ibrav = 0, nat = 6, ntyp = 3
/
ATOMIC_SPECIES
Fe 55.84 Fe.upf
Th 232.04 Th.upf
W 183.84 W.upf
CELL_PARAMETERS angstrom
-0.499 -1.971 -4.996
4.697 2.105 1.611
-0.848 -3.929 3.091
ATOMIC_POSITIONS angstrom
Fe 2.974 -0.879 1.505
Fe 0.376 -2.916 -1.798
Th 2.945 0.731 -0.617
Th 1.253 -0.597 -2.768
W 2.958 -2.585 -0.732
W 0.392 -1.210 0.438
```

Values from the calculation:
Raw total energy   -9.37 eV per atom
Space group   Fmmm (69)

***

5.
This record from the Alexandria database describes crystalline ZrRu5 at its relaxed geometry. The functional is PBE. Values from VASP.

The structure in Quantum ESPRESSO input format:
```
&SYSTEM
  ibrav = 0, nat = 6, ntyp = 2
/
ATOMIC_SPECIES
Ru 101.07 Ru.upf
Zr 91.22 Zr.upf
CELL_PARAMETERS angstrom
-3.844 -0.543 3.503
-1.487 -1.237 4.858
-0.076 5.811 3.110
ATOMIC_POSITIONS angstrom
Ru -5.101 1.812 9.802
Ru -0.128 5.782 3.186
Ru -3.563 2.624 7.542
Ru -3.234 0.592 5.929
Ru -1.795 1.416 3.847
Zr -1.574 5.008 5.305
```

Values from the calculation:
Raw total energy   -9.20 eV per atom
Space group   Cm (8)

***

6.
This record from the Alexandria database describes crystalline TbThFeNi at its relaxed geometry. The functional is PBE. Values from VASP.

The structure in Quantum ESPRESSO input format:
```
&SYSTEM
  ibrav = 0, nat = 4, ntyp = 4
/
ATOMIC_SPECIES
Th 232.04 Th.upf
Tb 158.93 Tb.upf
Ni 58.69 Ni.upf
Fe 55.84 Fe.upf
CELL_PARAMETERS angstrom
-2.368 -3.096 2.880
2.338 -3.773 1.945
0.932 -0.083 4.755
ATOMIC_POSITIONS angstrom
Th 0.451 -3.476 4.790
Tb 0.000 0.000 0.000
Ni 0.225 -1.738 2.395
Fe 0.676 -5.213 7.185
```

Values from the calculation:
Raw total energy   -6.66 eV per atom
Space group   F-43m (216)

***

7.
This record from the Alexandria database describes crystalline CrRu2W at its relaxed geometry. The functional is PBE. Values from VASP.

The structure in Quantum ESPRESSO input format:
```
&SYSTEM
  ibrav = 0, nat = 4, ntyp = 3
/
ATOMIC_SPECIES
Ru 101.07 Ru.upf
Cr 52.00 Cr.upf
W 183.84 W.upf
CELL_PARAMETERS angstrom
-0.350 -0.807 2.603
2.157 -3.002 -0.640
4.426 2.864 1.483
ATOMIC_POSITIONS angstrom
Ru 4.332 2.803 1.451
Ru 2.021 -1.181 1.356
Cr 4.307 0.298 2.122
W 2.211 1.430 0.741
```

Values from the calculation:
Space group   Pmm2 (25)
Energy above the lowest structure with this stoichiometry   69 meV/atom

***

8.
This record from the Alexandria database describes crystalline Be2Re2Sn at its relaxed geometry. The functional is PBE. Values from VASP.

The structure in Quantum ESPRESSO input format:
```
&SYSTEM
  ibrav = 0, nat = 10, ntyp = 3
/
ATOMIC_SPECIES
Be 9.01 Be.upf
Re 186.21 Re.upf
Sn 118.71 Sn.upf
CELL_PARAMETERS angstrom
6.229 0.000 0.000
0.000 6.229 0.000
0.000 0.000 3.285
ATOMIC_POSITIONS angstrom
Be 5.509 3.836 0.000
Be 3.836 0.721 0.000
Be 0.721 2.394 0.000
Be 2.394 5.509 0.000
Re 1.072 4.187 1.643
Re 4.187 5.157 1.643
Re 5.157 2.043 1.643
Re 2.043 1.072 1.643
Sn 3.115 3.115 0.000
Sn 0.000 0.000 0.000
```

Values from the calculation:
Raw total energy   -7.18 eV per atom
Space group   P4/mbm (127)

***

9.
This record from the Alexandria database describes crystalline CaPmCu2Si2 at its relaxed geometry. The functional is PBE. Values from VASP.

The structure in Quantum ESPRESSO input format:
```
&SYSTEM
  ibrav = 0, nat = 6, ntyp = 4
/
ATOMIC_SPECIES
Cu 63.55 Cu.upf
Si 28.09 Si.upf
Pm 145.00 Pm.upf
Ca 40.08 Ca.upf
CELL_PARAMETERS angstrom
4.120 0.000 0.000
-2.060 3.568 0.000
0.000 0.000 8.216
ATOMIC_POSITIONS angstrom
Cu 2.060 1.189 2.057
Cu 0.000 2.378 6.159
Si 0.000 2.378 2.000
Si 2.060 1.189 6.216
Pm 0.000 0.000 0.000
Ca 0.000 0.000 4.108
```

Values from the calculation:
Raw total energy   -4.82 eV per atom
Space group   P-3m1 (164)

***

10.
This record from the Alexandria database describes crystalline SrPaRhSe4 at its relaxed geometry. The functional is PBE. Values from VASP.

The structure in Quantum ESPRESSO input format:
```
&SYSTEM
  ibrav = 0, nat = 14, ntyp = 4
/
ATOMIC_SPECIES
Se 78.96 Se.upf
Pa 231.04 Pa.upf
Sr 87.62 Sr.upf
Rh 102.91 Rh.upf
CELL_PARAMETERS angstrom
6.815 0.000 0.205
0.000 6.017 0.000
-2.422 0.000 8.322
ATOMIC_POSITIONS angstrom
Se 2.842 1.504 3.211
Se -1.596 5.953 6.103
Se 5.989 0.064 2.423
Se 5.989 2.944 2.423
Se 1.551 4.513 5.316
Se -1.596 3.072 6.103
Se 2.634 4.513 1.333
Se 1.759 1.504 7.193
Pa 3.986 4.513 3.873
Pa 0.407 1.504 4.654
Sr 1.589 1.504 0.489
Sr 2.804 4.513 8.037
Rh 0.796 4.513 3.074
Rh 3.597 1.504 5.452
```

Values from the calculation:
Raw total energy   -5.82 eV per atom
Space group   P2_1/m (11)

***

11.
This record from the Alexandria database describes crystalline Be2TcIr at its relaxed geometry. The functional is PBE. Values from VASP.

The structure in Quantum ESPRESSO input format:
```
&SYSTEM
  ibrav = 0, nat = 4, ntyp = 3
/
ATOMIC_SPECIES
Tc 98.00 Tc.upf
Ir 192.22 Ir.upf
Be 9.01 Be.upf
CELL_PARAMETERS angstrom
2.633 0.004 0.000
-1.101 2.392 0.000
0.000 0.000 7.799
ATOMIC_POSITIONS angstrom
Tc 0.766 1.198 6.023
Ir 0.000 0.000 3.675
Be 0.000 0.000 0.124
Be 0.766 1.198 1.877
```

Values from the calculation:
Space group   Cmm2 (35)
Energy above the lowest structure with this stoichiometry   531 meV/atom

***

12.
This record from the Alexandria database describes crystalline BaPdBr2O at its relaxed geometry. The functional is PBE. Values from VASP.

The structure in Quantum ESPRESSO input format:
```
&SYSTEM
  ibrav = 0, nat = 5, ntyp = 4
/
ATOMIC_SPECIES
Br 79.90 Br.upf
Pd 106.42 Pd.upf
Ba 137.33 Ba.upf
O 16.00 O.upf
CELL_PARAMETERS angstrom
-3.907 -4.552 1.599
4.742 -4.085 -0.045
1.077 1.184 5.999
ATOMIC_POSITIONS angstrom
Br 0.538 0.592 2.999
Br -1.953 -2.276 0.800
Pd 2.371 -2.043 -0.022
Ba 0.000 0.000 0.000
O 0.956 -3.727 3.776
```

Values from the calculation:
Raw total energy   -2.84 eV per atom
Space group   P4/mmm (123)